! CdMoAu2 PBE optimized geometry; values from VASP
! Calculated total energy ... -4.35 eV/atom
! Energy of formation ... 0.221 eV/atom
&SYSTEM
  ibrav = 0, nat = 4, ntyp = 3
/
ATOMIC_SPECIES
Au 196.97 Au.upf
Cd 112.41 Cd.upf
Mo 95.94 Mo.upf
CELL_PARAMETERS angstrom
6.7385 -0.0015 0.0090
-2.7961 4.3805 -0.0021
1.1514 0.7361 2.4315
ATOMIC_POSITIONS angstrom
Au 0.0000 0.0000 0.0000
Au 3.9450 0.3673 1.2203
Cd -0.8223 2.5583 1.2147
Mo 1.9712 2.1895 0.0034